1.
## TbPrPd6 (PBE-GGA)

Data for a relaxed TbPrPd6 crystal.

Cell lengths 4.186, 4.186, 8.330 Å; angles 90.00, 90.00, 90.00 degrees
Fractional coordinates of all 8 atoms:
Pd: 0.500 0.000 0.257
Tb: 0.000 0.000 0.500
Pd: 0.000 0.500 0.257
Pd: 0.500 0.500 0.000
Pd: 0.500 0.000 0.743
Pd: 0.000 0.500 0.743
Pr: 0.000 0.000 0.000
Pd: 0.500 0.500 0.500

Properties
total magnetic moment = 0.000 μB/atom
energy relative to the elements = -6.390 eV/f.u.

2.
## TbMgGaS4 (PBE-GGA)

Data for a relaxed TbMgGaS4 crystal.

Cell lengths 7.613, 7.598, 7.598 Å; angles 60.09, 59.94, 59.94 degrees
Fractional coordinates of all 14 atoms:
S: 0.746 0.764 0.744
S: 0.746 0.244 0.264
Mg: 0.500 0.000 0.500
S: 0.254 0.236 0.256
Ga: 0.630 0.620 0.120
S: 0.741 0.754 0.254
Mg: 0.000 0.000 0.500
Ga: 0.370 0.380 0.880
S: 0.259 0.246 0.746
Tb: 0.000 0.000 0.000
S: 0.254 0.756 0.736
S: 0.748 0.246 0.746
S: 0.252 0.754 0.254
Tb: 0.000 0.500 0.500

Properties
uncorrected formation energy = -1.325 eV/atom
total magnetic moment = 0.000 μB/atom

3.
## LaAuC3 (PBE-GGA)

Data for a relaxed LaAuC3 crystal.

Cell lengths 4.221, 4.221, 4.221 Å; angles 90.00, 90.00, 90.00 degrees
Fractional coordinates of all 5 atoms:
Au: 0.000 0.000 0.000
C: 0.000 0.000 0.500
C: 0.500 0.000 0.000
La: 0.500 0.500 0.500
C: 0.000 0.500 0.000

Properties
total magnetic moment = 0.000 μB/atom
energy relative to the elements = 9.768 eV/f.u.

What ρ values result from the calculations? In sequence: 10676, 4075, 8214 kg/m3.
What raw total energy values result from the calculations? In sequence: -46.957, -70.074, -26.108 eV per cell.